Record 1
This record from Alexandria via LeMat-Bulk describes a geometry-optimized Li2ZrW structure. The functional is PBE.

```
Li2ZrW
1.0
-2.8045 -3.2874 -1.1752
3.4783 -2.7605 -0.5788
-0.2072 -0.8822 2.9623
Li W Zr
2 1 1
Direct
0.0000 0.0000 0.0000
0.5000 0.5000 0.0000
0.5000 0.0000 0.5000
0.0000 0.5000 0.5000
```


Record 2
This record from Alexandria via LeMat-Bulk describes a geometry-optimized Li2ZrW structure. The functional is PBE.

```
Li2ZrW
1.0
2.8380 0.0000 0.0000
0.0000 3.6889 0.0000
0.0000 0.0000 6.9839
Li W Zr
2 1 1
Direct
0.0000 0.0000 0.0450
0.5000 0.5000 0.2522
0.0000 0.0000 0.4835
0.5000 0.5000 0.7193
```


Record 3
This record from Alexandria via LeMat-Bulk describes a geometry-optimized Li2ZrW structure. The functional is PBE.

```
Li2ZrW
1.0
-2.8755 -5.1743 0.6378
1.8384 -5.2587 -2.1013
0.8760 4.8062 3.4032
Li W Zr
2 1 1
Direct
0.0145 0.0145 0.0000
0.4855 0.4855 0.0000
0.2500 0.7500 0.5000
0.7500 0.2500 0.5000
```


Record 4
This record from Alexandria via LeMat-Bulk describes a geometry-optimized LiZrW2 structure. The functional is PBE.

```
LiZrW2
1.0
0.0000 3.2270 3.2270
3.2270 0.0000 3.2270
3.2270 3.2270 0.0000
Zr W Li
1 2 1
Direct
0.5000 0.5000 0.5000
0.2500 0.2500 0.2500
0.7500 0.7500 0.7500
0.0000 0.0000 0.0000
```


Record 5
This record from Alexandria via LeMat-Bulk describes a geometry-optimized LiZrW2 structure. The functional is PBE.

```
LiZrW2
1.0
4.9044 0.0000 0.0000
0.0000 2.7254 -0.0043
0.0000 0.6375 5.1203
Li W Zr
1 2 1
Direct
0.5000 0.7500 0.7500
0.0000 0.9593 0.0019
0.0000 0.5407 0.4981
0.5000 0.2500 0.2500
```


Record 6
This record from Alexandria via LeMat-Bulk describes a geometry-optimized Li2ZrW structure. The functional is PBE.

```
Li2ZrW
1.0
-3.1621 -0.5463 1.9846
-1.8700 -0.7577 -3.1882
-0.0563 -11.1060 0.4397
Zr W Li
2 2 4
Direct
0.5000 0.5000 0.0000
0.2500 0.7500 0.5000
0.0000 0.0000 0.0000
0.7500 0.2500 0.5000
0.0975 0.1250 0.2500
0.6525 0.6250 0.2500
0.3750 0.9025 0.7500
0.8750 0.3475 0.7500
```


Record 7
This record from Alexandria via LeMat-Bulk describes a geometry-optimized Li2ZrW structure. The functional is PBE.

```
Li2ZrW
1.0
5.5456 -0.0159 0.0000
2.9180 4.7159 0.0000
-4.2318 -2.3500 2.7062
Li W Zr
2 1 1
Direct
0.0000 0.0000 0.0000
0.5000 0.5000 0.0000
0.2500 0.7500 0.5000
0.7500 0.2500 0.5000
```


Record 8
This record from Alexandria via LeMat-Bulk describes a geometry-optimized Li2ZrW structure. The functional is PBE.

```
Li2ZrW
1.0
5.0231 -0.0003 0.0000
1.8796 4.6582 0.0000
-3.4513 -2.3289 2.8099
Li W Zr
2 1 1
Direct
0.0000 0.0000 0.0000
0.2500 0.7500 0.5000
0.5000 0.5000 0.0000
0.7500 0.2500 0.5000
```


Record 9
This record from Alexandria via LeMat-Bulk describes a geometry-optimized Li2ZrW structure. The functional is PBE.

```
Li2ZrW
1.0
5.1778 -0.0008 -0.0032
-2.3866 5.3938 -0.0066
0.4047 0.6509 2.5604
Li W Zr
2 1 1
Direct
0.0000 0.0000 0.0000
0.5000 0.0000 0.5000
0.0000 0.5000 0.5000
0.5000 0.5000 0.0000
```


Record 10
This record from Alexandria via LeMat-Bulk describes a geometry-optimized LiZrW2 structure. The functional is PBE.

```
LiZrW2
1.0
4.6505 0.0000 0.0000
0.0000 3.8156 0.0000
0.0000 0.0000 3.8156
Li W Zr
1 2 1
Direct
0.5000 0.0000 0.5000
0.0000 0.0000 0.0000
0.0000 0.5000 0.5000
0.5000 0.5000 0.0000
```


Record 11
This record from Alexandria via LeMat-Bulk describes a geometry-optimized LiZrW2 structure. The functional is PBE.

```
LiZrW2
1.0
2.7113 0.0000 0.0000
0.0000 2.7113 0.0000
0.0000 0.0000 9.4053
Li W Zr
1 2 1
Direct
0.5000 0.5000 0.7500
0.0000 0.0000 0.9894
0.0000 0.0000 0.5106
0.5000 0.5000 0.2500
```


Record 12
This record from Alexandria via LeMat-Bulk describes a geometry-optimized Li2ZrW structure. The functional is PBE.

```
Li2ZrW
1.0
-0.7435 -2.6065 -4.4309
-1.8037 -1.5346 1.2054
-4.2158 2.9016 -0.9995
Li W Zr
2 1 1
Direct
0.0000 0.9964 0.0233
0.0000 0.5036 0.4767
0.5000 0.2500 0.2500
0.5000 0.7500 0.7500
```


Record 13
This record from Alexandria via LeMat-Bulk describes a geometry-optimized Li2ZrW structure. The functional is PBE.

```
Li2ZrW
1.0
4.6716 0.0000 0.0000
0.0000 2.5939 0.0310
0.0000 1.1617 5.8569
Li W Zr
2 1 1
Direct
0.0000 0.1671 0.0184
0.5000 0.0725 0.2524
0.0000 0.4409 0.4935
0.5000 0.8194 0.7358
```


Record 14
This record from Alexandria via LeMat-Bulk describes a geometry-optimized LiZrW2 structure. The functional is PBE.

```
LiZrW2
1.0
-3.4832 1.6636 -2.2821
-1.6341 -0.5483 2.0944
0.4475 4.9743 2.9432
Li W Zr
1 2 1
Direct
0.5000 0.7888 0.7644
0.0000 0.9984 0.0152
0.5000 0.2105 0.2200
0.0000 0.5023 0.5003
```


Record 15
This record from Alexandria via LeMat-Bulk describes a geometry-optimized LiZrW2 structure. The functional is PBE.

```
LiZrW2
1.0
-1.5615 2.9533 -0.2240
-1.7836 -1.1398 -2.5942
-4.1823 -1.9289 3.7228
Li W Zr
1 2 1
Direct
0.5000 0.5000 0.7500
0.0000 0.0000 0.9577
0.0000 0.0000 0.5423
0.5000 0.5000 0.2500
```


Record 16
This record from Alexandria via LeMat-Bulk describes a geometry-optimized LiZrW2 structure. The functional is PBE.

```
LiZrW2
1.0
-1.4080 -1.1510 -2.0797
1.1695 -1.8681 1.6657
-8.1760 -0.1224 5.6033
Li W Zr
1 2 1
Direct
0.5000 0.5000 0.7500
0.0000 0.0000 0.9956
0.0000 0.0000 0.5044
0.5000 0.5000 0.2500
```


Record 17
This record from Alexandria via LeMat-Bulk describes a geometry-optimized LiZrW2 structure. The functional is PBE.

```
LiZrW2
1.0
5.4943 0.0186 0.0000
-2.7955 4.7300 0.0000
0.0000 0.0000 2.6630
Li W Zr
1 2 1
Direct
0.0000 0.5000 0.5000
0.0000 0.0000 0.0000
0.5000 0.5000 0.0000
0.5000 0.0000 0.5000
```


Record 18
This record from Alexandria via LeMat-Bulk describes a geometry-optimized LiZrW2 structure. The functional is PBE.

```
LiZrW2
1.0
-1.4480 0.6916 2.1081
-3.3402 -3.3316 -1.2013
2.6235 -3.7200 3.0224
Li W Zr
1 2 1
Direct
0.5000 0.5000 0.7500
0.0000 0.0000 0.0077
0.0000 0.0000 0.4923
0.5000 0.5000 0.2500
```


Record 19
This record from Alexandria via LeMat-Bulk describes a geometry-optimized LiZrW2 structure. The functional is PBE.

```
LiZrW2
1.0
4.8046 -0.0006 -0.0065
4.0595 2.5699 -0.0065
0.2860 0.0829 5.6605
Li W Zr
1 2 1
Direct
0.2524 0.2524 0.2377
0.9981 0.9981 0.9897
0.7506 0.7506 0.7795
0.4989 0.4989 0.4932
```


Record 20
This record from Alexandria via LeMat-Bulk describes a geometry-optimized LiZrW2 structure. The functional is PBE.

```
LiZrW2
1.0
5.2109 -0.0032 -0.0115
-2.4226 5.0703 -0.0049
0.3656 0.7108 2.5779
Li W Zr
1 2 1
Direct
0.5000 0.5000 0.0000
0.0000 0.0000 0.0000
0.5000 0.0000 0.5000
0.0000 0.5000 0.5000
```


Energy of formation: 0.684, 0.438, 0.409, 0.780, 0.375, 0.725, 0.570, 0.625, 0.415, 0.360, 0.501, 0.396, 0.420, 0.323, 0.571, 0.422, 0.477, 0.478, 0.444, 0.373 (eV per atom)